The following is a PBE-GGA calculation of a geometry-optimized SmErThSc structure, from Alexandria.

```
4
Lattice="5.557 0.000 0.000 2.779 4.813 0.000 2.779 1.604 4.537" Properties=species:S:1:pos:R:3 pbc="T T T"
Er 5.557 3.208 2.269
Sm 8.336 4.813 3.403
Sc 0.000 0.000 0.000
Th 2.779 1.604 1.134
```

Summary:
Calculated density (g cm⁻³): 8.1
M_tot (μB per cell): 0.0
Calculated volume (Å³/f.u.): 121.4
Formation enthalpy at 0 K (eV per atom): 0.105
Density of states at the Fermi level (states/eV per atom): 1.855
Energy above the lowest structure with this stoichiometry (meV per atom): 70

=====

The following is a PBE-GGA calculation of a geometry-optimized PrSi3Os3 structure, from Alexandria.

```
14
Lattice="6.695 0.000 0.000 3.347 5.798 0.000 3.347 1.933 6.954" Properties=species:S:1:pos:R:3 pbc="T T T"
Os 8.918 3.534 2.537
Os 5.296 2.105 2.537
Os 7.519 1.774 4.418
Os 4.471 4.197 4.418
Os 5.870 5.957 2.537
Os 8.094 5.625 4.418
Si 7.507 1.639 1.974
Si 4.360 4.275 1.974
Si 9.029 3.455 4.980
Si 5.173 2.048 4.980
Si 8.217 5.682 1.974
Si 5.882 6.092 4.980
Pr 6.695 3.865 6.952
Pr 6.695 3.865 0.003
```

Summary:
Calculated density (g cm⁻³): 9.8
M_tot (μB per cell): 0.0
Calculated volume (Å³/f.u.): 135.0
Density of states at the Fermi level (states/eV per atom): 0.653
Energy above the lowest structure with this stoichiometry (meV per atom): 0
Uncorrected formation energy (meV per atom): -139

=====

The following is a PBE-GGA calculation of a geometry-optimized Li4Sn3Ge structure, from Alexandria.

```
8
Lattice="3.382 0.000 0.000 0.000 3.382 0.000 0.000 0.000 13.554" Properties=species:S:1:pos:R:3 pbc="T T T"
Li 0.000 0.000 4.963
Li 0.000 0.000 12.147
Li 0.000 0.000 1.408
Li 0.000 0.000 8.592
Sn 1.691 1.691 6.777
Sn 1.691 1.691 10.377
Sn 1.691 1.691 3.177
Ge 1.691 1.691 0.000
```

Summary:
Calculated density (g cm⁻³): 4.9
M_tot (μB per cell): 0.0
Calculated volume (Å³/f.u.): 155.0
Formation enthalpy at 0 K (eV per atom): -0.282
Density of states at the Fermi level (states/eV per atom): 0.382

=====

The following is a PBE-GGA calculation of a geometry-optimized CrP4 structure, from Alexandria.

```
5
Lattice="-4.061 1.606 -0.571 -0.820 -0.549 4.293 1.494 4.064 0.805" Properties=species:S:1:pos:R:3 pbc="T T T"
P 0.000 0.000 0.000
P -1.284 2.835 0.117
P -2.441 0.529 1.861
P 0.337 1.758 2.549
Cr -1.694 2.561 2.264
```

Summary:
Calculated density (g cm⁻³): 3.4
M_tot (μB per cell): 0.9
Calculated volume (Å³/f.u.): 85.4
Formation enthalpy at 0 K (eV per atom): 0.705
Density of states at the Fermi level (states/eV per atom): 0.788

=====

The following is a PBE-GGA calculation of a geometry-optimized SmPdPb2 structure, from Alexandria.

```
4
Lattice="3.526 0.000 0.000 1.763 3.053 0.000 1.763 1.018 10.482" Properties=species:S:1:pos:R:3 pbc="T T T"
Sm 0.000 0.000 0.000
Pd 3.526 2.036 5.241
Pb 1.763 1.018 7.274
Pb 5.289 3.053 3.207
```

Summary:
Calculated density (g cm⁻³): 9.9
M_tot (μB per cell): 0.0
Calculated volume (Å³/f.u.): 112.8
Formation enthalpy at 0 K (eV per atom): -0.042
Density of states at the Fermi level (states/eV per atom): 0.675
Energy above the lowest structure with this stoichiometry (meV per atom): 476

=====

The following is a PBE-GGA calculation of a geometry-optimized Ba2Zr2N structure, from Alexandria.

```
5
Lattice="-1.219 -2.726 -3.004 3.303 1.154 -2.388 5.689 -6.764 0.843" Properties=species:S:1:pos:R:3 pbc="T T T"
N 0.000 0.000 0.000
Ba 2.756 -5.138 -2.428
Ba 5.017 -3.198 -2.120
Zr 6.087 -6.721 -2.343
Zr 1.686 -1.614 -2.205
```

Summary:
Calculated density (g cm⁻³): 5.2
M_tot (μB per cell): 0.0
Calculated volume (Å³/f.u.): 149.9
Density of states at the Fermi level (states/eV per atom): 0.631
Energy above the lowest structure with this stoichiometry (meV per atom): 1705
Uncorrected formation energy (meV per atom): 1851

=====

The following is a PBE-GGA calculation of a geometry-optimized Ca2SO6 structure, from Alexandria.

```
18
Lattice="4.867 0.000 0.000 0.000 4.867 0.000 0.000 0.000 9.658" Properties=species:S:1:pos:R:3 pbc="T T T"
O 4.044 0.823 8.464
O 3.719 3.719 0.000
O 3.256 3.256 6.024
O 3.256 3.256 3.635
O 0.823 4.044 1.194
O 1.286 3.581 4.829
O 1.148 1.148 0.000
O 1.611 1.611 6.024
O 4.044 0.823 1.194
O 0.823 4.044 8.464
O 3.581 1.286 4.829
O 1.611 1.611 3.635
Ca 2.434 2.434 1.614
Ca 0.000 0.000 6.443
Ca 0.000 0.000 3.216
Ca 2.434 2.434 8.045
S 2.434 2.434 4.829
S 0.000 0.000 0.000
```

Summary:
Calculated density (g cm⁻³): 3.0
M_tot (μB per cell): 4.1
Calculated volume (Å³/f.u.): 114.4
Density of states at the Fermi level (states/eV per atom): 0.111
Uncorrected formation energy (meV per atom): -1625

=====

The following is a PBE-GGA calculation of a geometry-optimized AlTl2Sb structure, from Alexandria.

```
4
Lattice="6.530 0.709 0.000 3.033 5.826 0.000 -4.782 -3.268 3.099" Properties=species:S:1:pos:R:3 pbc="T T T"
Sb 3.265 0.355 1.549
Al 1.517 2.913 1.549
Tl 0.000 0.000 0.000
Tl 4.782 3.268 0.000
```

Summary:
Calculated density (g cm⁻³): 8.3
M_tot (μB per cell): 0.0
Calculated volume (Å³/f.u.): 111.2
Density of states at the Fermi level (states/eV per atom): 0.535
Energy above the lowest structure with this stoichiometry (meV per atom): 113
Uncorrected formation energy (meV per atom): 191

=====

The following is a PBE-GGA calculation of a geometry-optimized PrCdInAg structure, from Alexandria.

```
4
Lattice="5.143 0.000 0.000 2.571 4.454 0.000 2.571 1.485 4.199" Properties=species:S:1:pos:R:3 pbc="T T T"
In 0.000 0.000 0.000
Cd 7.714 4.454 3.149
Pr 5.143 2.969 2.099
Ag 2.571 1.485 1.050
```

Summary:
Calculated density (g cm⁻³): 8.2
M_tot (μB per cell): 0.0
Calculated volume (Å³/f.u.): 96.2
Formation enthalpy at 0 K (eV per atom): -0.331
Density of states at the Fermi level (states/eV per atom): 0.564

=====

The following is a PBE-GGA calculation of a geometry-optimized U2GaTc3 structure, from Alexandria.

```
12
Lattice="5.811 0.000 0.000 0.000 8.227 0.000 -2.906 -4.113 5.043" Properties=species:S:1:pos:R:3 pbc="T T T"
U 4.275 4.113 0.847
U -1.369 0.000 4.196
U -1.537 4.113 4.196
U 4.443 0.000 0.847
Tc 2.906 2.163 0.000
Tc 0.000 6.276 0.000
Tc 0.000 1.950 0.000
Tc -1.453 2.057 2.521
Tc -1.453 -2.057 2.521
Tc 2.906 6.064 0.000
Ga 1.576 0.000 2.521
Ga 1.330 4.113 2.521
```

Summary:
Calculated density (g cm⁻³): 11.6
M_tot (μB per cell): 0.0
Calculated volume (Å³/f.u.): 120.5
Formation enthalpy at 0 K (eV per atom): 0.213
Density of states at the Fermi level (states/eV per atom): 0.921

=====

The following is a PBE-GGA calculation of a geometry-optimized Pa2CoRu structure, from Alexandria.

```
8
Lattice="-3.531 1.580 0.014 -2.313 -5.155 -1.557 0.309 0.625 7.423" Properties=species:S:1:pos:R:3 pbc="T T T"
Pa -2.891 0.585 6.571
Pa -2.507 -3.260 2.945
Pa -2.644 -3.535 -0.692
Pa -3.028 0.310 2.934
Ru -4.011 -1.902 4.790
Ru -1.524 -1.048 1.089
Co -1.352 -0.696 4.768
Co -4.183 -2.254 1.111
```

Summary:
Calculated density (g cm⁻³): 13.1
M_tot (μB per cell): 0.0
Calculated volume (Å³/f.u.): 79.0
Formation enthalpy at 0 K (eV per atom): -0.470
Density of states at the Fermi level (states/eV per atom): 1.022

=====

The following is a PBE-GGA calculation of a geometry-optimized CePm4Nd8 structure, from Alexandria.

```
13
Lattice="6.609 0.000 -3.566 -4.266 6.180 0.000 1.185 0.819 10.105" Properties=species:S:1:pos:R:3 pbc="T T T"
Pm 0.000 0.000 0.000
Pm 1.171 3.090 -1.783
Pm -2.133 3.090 0.000
Pm 3.304 0.000 -1.783
Nd 3.874 5.158 3.577
Nd -2.668 5.205 2.961
Nd 6.196 1.794 3.577
Nd 2.759 1.905 5.114
Nd 0.769 5.093 1.424
Nd -0.345 1.840 2.962
Nd 0.863 5.159 5.201
Nd 2.665 1.840 1.337
Ce -1.540 3.499 5.052
```

Summary:
Calculated density (g cm⁻³): 6.9
M_tot (μB per cell): 0.0
Calculated volume (Å³/f.u.): 451.3
Formation enthalpy at 0 K (eV per atom): 0.138
Density of states at the Fermi level (states/eV per atom): 1.487